DFT (GGA-PBE) results for a relaxed Cs2Dy2NpS6 crystal.

## Properties
E_form (uncorrected) ... -1.72 eV per atom
E ... -6.13 eV/atom

CIF file:
```
data_Cs2Dy2NpS6
_space_group_name_H-M_alt 'C 1 2/m 1'
_space_group_IT_number 12
_cell_length_a 7.0036
_cell_length_b 12.1153
_cell_length_c 8.5909
_cell_angle_alpha 90.00
_cell_angle_beta 106.20
_cell_angle_gamma 90.00
loop_
_space_group_symop_operation_xyz
'x,y,z'
'-x,-y,-z'
'-x,y,-z'
'x,-y,z'
'x+1/2,y+1/2,z'
'-x+1/2,-y+1/2,-z'
'-x+1/2,y+1/2,-z'
'x+1/2,-y+1/2,z'
loop_
_atom_site_label
_atom_site_fract_x
_atom_site_fract_y
_atom_site_fract_z
_atom_site_occupancy
Cs1 0.0000 0.1689 0.0000 1
Dy1 0.0000 0.3335 0.5000 1
Np1 0.0000 0.0000 0.5000 1
S1 0.2236 0.1644 0.6763 1
S2 0.2337 0.5000 0.6760 1
```